Ce4Si2C after structural relaxation, computed with PBE.

The structure in POSCAR format:
```
Ce4Si2C
1.0
3.628 0.000 0.000
0.000 6.304 1.937
0.000 0.125 7.445
Ce C Si
4 1 2
Direct
0.500 0.165 0.268
0.000 0.455 0.870
0.500 0.978 0.874
0.000 0.688 0.273
0.000 0.071 0.071
0.500 0.396 0.567
0.500 0.747 0.576
```

**Electronic total energy**: -45.4 eV/cell
**ΔE_f (raw)**: -1.6 eV/f.u.

CeSiC2 after structural relaxation, computed with PBE.

The structure in POSCAR format:
```
CeSiC2
1.0
3.890 0.000 0.000
1.945 3.369 0.000
1.945 1.123 5.628
C Si Ce
2 1 1
Direct
0.102 0.102 0.694
0.898 0.898 0.306
0.000 0.000 0.000
0.500 0.500 0.500
```

**Electronic total energy**: -28.1 eV/cell
**ΔE_f (raw)**: 1.7 eV/f.u.

Ce4Si2C after structural relaxation, computed with PBE.

The structure in POSCAR format:
```
Ce4Si2C
1.0
4.770 0.000 0.000
0.000 4.770 0.000
-2.385 -2.385 7.610
C Ce Si
1 4 2
Direct
0.000 0.000 0.000
0.830 0.830 0.661
0.170 0.170 0.339
0.500 0.000 0.000
0.000 0.500 0.000
0.366 0.366 0.733
0.634 0.634 0.267
```

**Electronic total energy**: -46.3 eV/cell
**ΔE_f (raw)**: -2.5 eV/f.u.

Ce10Si2C3 after structural relaxation, computed with PBE.

The structure in POSCAR format:
```
Ce10Si2C3
1.0
6.398 0.000 -2.082
-1.077 8.569 -3.308
0.327 0.342 11.873
Ce C Si
20 6 4
Direct
0.403 0.063 0.234
0.409 0.473 0.297
0.130 0.762 0.259
0.870 0.238 0.741
0.597 0.937 0.766
0.496 0.799 0.992
0.246 0.325 0.491
0.271 0.500 0.000
0.000 0.000 0.500
0.500 0.000 0.500
0.168 0.937 0.766
0.591 0.527 0.703
0.112 0.527 0.703
0.504 0.201 0.008
0.018 0.200 0.037
0.888 0.473 0.297
0.982 0.800 0.963
0.729 0.500 0.000
0.754 0.675 0.509
0.832 0.063 0.234
0.820 0.946 0.639
0.259 0.000 0.000
0.927 0.517 0.854
0.073 0.483 0.146
0.741 0.000 0.000
0.180 0.054 0.361
0.369 0.244 0.739
0.739 0.308 0.478
0.631 0.756 0.261
0.261 0.692 0.522
```

**Electronic total energy**: -202.3 eV/cell
**ΔE_f (raw)**: -3.3 eV/f.u.

CeSiTc2C after structural relaxation, computed with PBE.

The structure in POSCAR format:
```
CeSiTc2C
1.0
3.857 0.000 0.000
-1.929 5.583 0.000
0.000 0.000 7.402
Si Tc Ce C
2 4 2 2
Direct
0.266 0.532 0.250
0.734 0.468 0.750
0.831 0.661 0.441
0.169 0.339 0.941
0.169 0.339 0.559
0.831 0.661 0.059
0.456 0.911 0.750
0.544 0.089 0.250
0.000 0.000 0.000
0.000 0.000 0.500
```

**Electronic total energy**: -87.5 eV/cell
**ΔE_f (raw)**: -2.5 eV/f.u.

CeSi2Tc2C after structural relaxation, computed with PBE.

The structure in POSCAR format:
```
CeSi2Tc2C
1.0
-3.325 -1.276 2.144
2.476 -2.123 2.578
0.385 4.236 3.118
Tc Si Ce C
2 2 1 1
Direct
0.500 0.000 0.000
0.000 0.500 0.000
0.500 0.500 0.721
0.500 0.500 0.279
0.000 0.000 0.500
0.000 0.000 0.000
```

**Electronic total energy**: -50.0 eV/cell
**ΔE_f (raw)**: -3.3 eV/f.u.

Ce2Si2Tc2C after structural relaxation, computed with PBE.

The structure in POSCAR format:
```
Ce2Si2Tc2C
1.0
4.126 0.000 0.000
2.063 5.555 -0.495
2.063 1.590 5.340
Ce Si Tc C
2 2 2 1
Direct
0.434 0.837 0.296
0.566 0.163 0.704
0.851 0.601 0.697
0.149 0.399 0.303
0.206 0.685 0.903
0.794 0.315 0.097
0.000 0.000 0.000
```

**Electronic total energy**: -56.9 eV/cell
**ΔE_f (raw)**: -4.2 eV/f.u.

CeU2SiC4 after structural relaxation, computed with PBE.

The structure in POSCAR format:
```
CeU2SiC4
1.0
3.553 0.000 0.000
-1.776 5.684 0.000
0.000 0.000 11.595
C Ce Si U
8 2 2 4
Direct
0.261 0.523 0.379
0.000 0.000 0.000
0.425 0.850 0.750
0.261 0.523 0.121
0.739 0.477 0.621
0.575 0.150 0.250
0.739 0.477 0.879
0.000 0.000 0.500
0.104 0.209 0.750
0.896 0.791 0.250
0.838 0.676 0.750
0.162 0.324 0.250
0.372 0.745 0.949
0.628 0.255 0.449
0.628 0.255 0.051
0.372 0.745 0.551
```

**Electronic total energy**: -143.9 eV/cell
**ΔE_f (raw)**: -1.1 eV/f.u.

Q: What is the electronic total energy in the first record?
A: -45.4 eV/cell